Compound: Ce2Tl3HgSe6
Source: Alexandria
Functional: GGA-PBE
Structure: relaxed

abc: 7.2412 13.1728 8.0509
angles: 90.00 106.19 90.00
Last column: nearest neighbours and their distance in Å.
Space group C2/m (No. 12)
Asymmetric unit:
Ce 0.0000 0.1694 0.0000 (multiplicity 4)  6 Se 2.87-2.99
Tl 0.0000 0.0000 0.5000 (multiplicity 2)  6 Se 3.42-3.46
Tl 0.0000 0.3381 0.5000 (multiplicity 4)  6 Se 3.20-3.41
Hg 0.0000 0.5000 0.0000 (multiplicity 2)  2 Se 2.69
Se 0.2457 0.0000 0.1883 (multiplicity 4)  1 Hg 2.69, 2 Ce 2.99
Se 0.2484 0.1813 0.7777 (multiplicity 8)  2 Ce 2.87-2.93, 1 Tl 3.20

## Properties
Mass density = 7.06 g cm⁻³
Size of the total moment = 1.01 μB per formula unit
Raw formation energy = -0.9730 eV per atom



Compound: CuMo2Os
Source: Alexandria
Functional: GGA-PBE
Structure: relaxed

abc: 9.0207 2.7839 4.7624
angles: 90.00 99.90 90.00
Last column: nearest neighbours and their distance in Å.
Space group Cm (No. 8)
Asymmetric unit:
Cu 0.0000 0.0000 0.0000 (multiplicity 2)  7 Mo 2.67-2.79, 3 Os 2.73-2.79, 2 Cu 2.78
Mo 0.2509 0.0000 0.7739 (multiplicity 2)  3 Cu 2.67-2.70, 4 Os 2.71-2.80, 5 Mo 2.75-2.85
Mo 0.4919 0.0000 0.4909 (multiplicity 2)  3 Os 2.69-2.70, 4 Cu 2.73-2.79, 5 Mo 2.75-2.85
Os 0.2460 0.5000 0.2614 (multiplicity 2)  7 Mo 2.69-2.80, 3 Cu 2.73-2.79, 2 Os 2.78

## Properties
Mass density = 12.56 g cm⁻³
Size of the total moment = 0.00 μB per formula unit
ΔE_f = 236 meV/atom
Distance to the lowest polymorph of the same formula = 108 meV/atom



Compound: LaPrEr2Tm
Source: Alexandria
Functional: GGA-PBE
Structure: relaxed

abc: 3.6239 5.6091 8.6050
angles: 90.00 90.00 90.00
Last column: nearest neighbours and their distance in Å.
Space group Pmmm (No. 47)
Asymmetric unit:
La 0.0000 0.0000 0.0000 (multiplicity 1)  4 Tm 3.34, 2 La 3.62
Pr 0.5000 0.0000 0.5000 (multiplicity 1)  2 Pr 3.62, 8 Er 3.69
Er 0.0000 0.5000 0.3169 (multiplicity 2)  1 Er 3.15, 2 Tm 3.27
Tm 0.5000 0.5000 0.0000 (multiplicity 1)  4 Er 3.27, 4 La 3.34, 2 Tm 3.62

## Properties
Mass density = 7.44 g cm⁻³
Size of the total moment = 0.00 μB per formula unit
ΔE_f = 228 meV/atom



Compound: Rb2MnInSe4
Source: Alexandria
Functional: GGA-PBE
Structure: relaxed

abc: 6.3882 13.7179 24.8379
angles: 90.00 90.00 90.00
Last column: nearest neighbours and their distance in Å.
Space group Fddd (No. 70, origin choice 2)
Asymmetric unit:
Rb 0.1250 0.1250 0.3065 (multiplicity 16)  8 Se 3.74-3.93, 2 Mn 4.15, 2 In 4.15
Mn 0.1250 0.1250 0.6250 (multiplicity 8)  4 Se 2.46
In 0.1250 0.1250 0.1250 (multiplicity 8)  4 Se 2.60
Se 0.1077 0.2788 0.8163 (multiplicity 32)  1 Mn 2.46, 1 In 2.60

## Properties
Mass density = 4.01 g cm⁻³
Size of the total moment = 4.00 μB per formula unit
Raw formation energy = -0.7801 eV per atom



Compound: CdRe2Pt
Source: Alexandria
Functional: GGA-PBE
Structure: relaxed

abc: 2.8056 2.8056 28.3696
angles: 90.00 90.00 120.00
Last column: nearest neighbours and their distance in Å.
Space group R-3m (No. 166, hexagonal axes)
Asymmetric unit:
Cd 0.0000 0.0000 0.0000 (multiplicity 3)  6 Cd 2.81, 6 Re 2.98
Re 0.0000 0.0000 0.2452 (multiplicity 6)  3 Pt 2.76, 6 Re 2.81, 3 Cd 2.98
Pt 0.0000 0.0000 0.5000 (multiplicity 3)  6 Re 2.76, 6 Pt 2.81

## Properties
Mass density = 17.51 g cm⁻³
Size of the total moment = 0.00 μB per formula unit
ΔE_f = 339 meV/atom



Compound: BaTa2HgO7
Source: Alexandria
Functional: GGA-PBE
Structure: relaxed

abc: 4.0039 4.0039 20.8652
angles: 90.00 90.00 90.00
Last column: nearest neighbours and their distance in Å.
Space group I-4m2 (No. 119)
Asymmetric unit:
Ba 0.0000 0.0000 0.0000 (multiplicity 2)  12 O 2.81-2.86
Ta 0.0000 0.0000 0.3956 (multiplicity 4)  5 O 1.91-2.01
Hg 0.0000 0.5000 0.2500 (multiplicity 2)  4 O 2.30
O 0.0000 0.0000 0.3039 (multiplicity 4)  1 Ta 1.91
O 0.0000 0.0000 0.5000 (multiplicity 2)  2 Ta 2.18
O 0.0000 0.5000 0.0979 (multiplicity 4)  2 Ta 2.01
O 0.0000 0.5000 0.5945 (multiplicity 4)  2 Ta 2.01

## Properties
Mass density = 8.06 g cm⁻³
Size of the total moment = 0.00 μB per formula unit
Raw formation energy = -2.4401 eV per atom



Compound: Ti7NbSb4
Source: Alexandria
Functional: GGA-PBE
Structure: relaxed

abc: 13.3164 4.9080 10.0802
angles: 90.00 130.48 90.00
Last column: nearest neighbours and their distance in Å.
Space group C2/m (No. 12)
Asymmetric unit:
Ti 0.0000 0.0000 0.0000 (multiplicity 2)  2 Nb 2.45, 2 Sb 2.70
Ti 0.1205 0.5000 0.3353 (multiplicity 4)  1 Nb 2.64, 1 Ti 2.75, 1 Sb 2.77
Ti 0.1447 0.0000 0.6004 (multiplicity 4)  4 Sb 2.68-2.81, 2 Ti 2.75-2.97
Ti 0.1826 0.5000 0.9055 (multiplicity 4)  4 Sb 2.83-2.92, 3 Ti 2.90-3.08, 1 Nb 3.13
Nb 0.0000 0.5000 0.0000 (multiplicity 2)  4 Ti 2.45-2.64
Sb 0.0453 0.0000 0.7661 (multiplicity 4)  8 Ti 2.72-3.00
Sb 0.2483 0.0000 0.3112 (multiplicity 4)  5 Ti 2.68-2.87

## Properties
Mass density = 6.06 g cm⁻³
Size of the total moment = 0.87 μB per formula unit
Raw formation energy = 0.0404 eV per atom



Compound: ErTm5ScIn2
Source: Alexandria
Functional: GGA-PBE
Structure: relaxed

abc: 7.5057 7.5057 18.9287
angles: 90.00 90.00 90.00
Last column: nearest neighbours and their distance in Å.
Space group I4/mcm (No. 140)
Asymmetric unit:
Er 0.0000 0.0000 0.2500 (multiplicity 4)  8 Tm 3.58, 4 Sc 3.75
Tm 0.0000 0.0000 0.0000 (multiplicity 4)  4 In 2.97
Tm 0.1999 0.3001 0.1261 (multiplicity 16)  1 In 3.02, 1 Sc 3.16
Sc 0.0000 0.5000 0.2500 (multiplicity 4)  4 Tm 3.16
In 0.1252 0.3748 0.5000 (multiplicity 8)  1 In 2.66, 2 Tm 2.97

## Properties
Mass density = 8.01 g cm⁻³
Size of the total moment = 0.00 μB per formula unit
ΔE_f = 36 meV/atom



Compound: PrTmPb
Source: Alexandria
Functional: GGA-PBE
Structure: relaxed

abc: 5.1725 5.1725 4.1628
angles: 90.00 90.00 120.00
Last column: nearest neighbours and their distance in Å.
Space group P3m1 (No. 156)
Asymmetric unit:
Pr 0.0000 0.0000 0.0000 (multiplicity 1)  6 Pb 3.63-3.65, 6 Tm 3.64
Tm 0.3333 0.6667 0.4990 (multiplicity 1)  3 Pb 2.99
Pb 0.6667 0.3333 0.5028 (multiplicity 1)  3 Tm 2.99

## Properties
Mass density = 8.90 g cm⁻³
Size of the total moment = 0.00 μB per formula unit
ΔE_f = -247 meV/atom



Compound: Rb3Sm2Te6Pb
Source: Alexandria
Functional: GGA-PBE
Structure: relaxed

abc: 7.9971 13.8516 9.0475
angles: 90.00 107.13 90.00
Last column: nearest neighbours and their distance in Å.
Space group C2/m (No. 12)
Asymmetric unit:
Rb 0.0000 0.0000 0.0000 (multiplicity 2)  6 Te 3.63-3.72
Rb 0.0000 0.3367 0.0000 (multiplicity 4)  6 Te 3.66-3.72
Sm 0.0000 0.1671 0.5000 (multiplicity 4)  6 Te 3.16
Te 0.2235 0.0000 0.7039 (multiplicity 4)  2 Sm 3.16, 1 Pb 3.27
Te 0.2407 0.3279 0.7050 (multiplicity 8)  2 Sm 3.16, 1 Pb 3.28
Pb 0.0000 0.5000 0.5000 (multiplicity 2)  6 Te 3.27-3.28

## Properties
Mass density = 5.31 g cm⁻³
Size of the total moment = 0.00 μB per formula unit
Raw formation energy = -1.0998 eV per atom



Compound: LiTiBeO2
Source: Alexandria
Functional: GGA-PBE
Structure: relaxed

abc: 3.6060 3.6060 3.8089
angles: 90.00 90.00 90.00
Last column: nearest neighbours and their distance in Å.
Space group P4/mmm (No. 123)
Asymmetric unit:
Li 0.0000 0.0000 0.0000 (multiplicity 1)  4 O 1.80, 2 Ti 1.90
Ti 0.0000 0.0000 0.5000 (multiplicity 1)  2 Li 1.90
Be 0.5000 0.5000 0.5000 (multiplicity 1)  4 Ti 2.55, 8 O 2.62
O 0.0000 0.5000 0.0000 (multiplicity 2)  2 Li 1.80

## Properties
Mass density = 3.21 g cm⁻³
Size of the total moment = 0.00 μB per formula unit
Raw formation energy = 0.1147 eV per atom



Compound: AcLu
Source: Alexandria
Functional: GGA-PBE
Structure: relaxed

abc: 3.7915 6.0489 6.3624
angles: 90.00 90.00 90.00
Last column: nearest neighbours and their distance in Å.
Space group Pmmn (No. 59, origin choice 2)
Asymmetric unit:
Ac 0.2500 0.2500 0.0889 (multiplicity 2)  6 Lu 3.66-3.74, 6 Ac 3.74-3.79
Lu 0.2500 0.7500 0.4181 (multiplicity 2)  6 Ac 3.66-3.74, 6 Lu 3.72-3.79

## Properties
Mass density = 9.15 g cm⁻³
Size of the total moment = 0.00 μB per formula unit
ΔE_f = 98 meV/atom
Distance to the lowest polymorph of the same formula = 24 meV/atom



Compound: K3Tl4Pt2
Source: Alexandria
Functional: GGA-PBE
Structure: relaxed

abc: 15.4548 10.6955 7.7426
angles: 90.00 106.45 90.00
Last column: nearest neighbours and their distance in Å.
Space group C2/c (No. 15)
Asymmetric unit:
K 0.0000 0.0541 0.2500 (multiplicity 4)  2 Pt 3.42, 6 Tl 3.53-3.76
K 0.1282 0.3962 0.1601 (multiplicity 8)  3 Pt 3.46-3.63, 3 Tl 3.60-3.68
Tl 0.1287 0.2377 0.6546 (multiplicity 8)  2 Pt 2.84-2.86
Tl 0.1894 0.0874 0.0524 (multiplicity 8)  2 Pt 2.74-2.75
Pt 0.2216 0.1382 0.4135 (multiplicity 8)  4 Tl 2.74-2.86, 1 Pt 2.76

## Properties
Mass density = 7.17 g cm⁻³
Size of the total moment = 0.00 μB per formula unit
ΔE_f = -164 meV/atom



Compound: ZnMo
Source: Alexandria
Functional: GGA-PBE
Structure: relaxed

abc: 5.0667 5.0667 5.1632
angles: 90.00 90.00 90.00
Last column: nearest neighbours and their distance in Å.
Space group P4_2/mnm (No. 136)
Asymmetric unit:
Zn 0.1750 0.1750 0.0000 (multiplicity 4)  1 Zn 2.51, 6 Mo 2.58-2.67
Mo 0.1703 0.1703 0.5000 (multiplicity 4)  1 Mo 2.44, 6 Zn 2.58-2.67

## Properties
Mass density = 8.09 g cm⁻³
Size of the total moment = 0.00 μB per formula unit
ΔE_f = 716 meV/atom
Distance to the lowest polymorph of the same formula = 654 meV/atom



Compound: Nd4IrSCl2
Source: Alexandria
Functional: GGA-PBE
Structure: relaxed

abc: 7.3577 4.0310 7.5308
angles: 90.00 108.13 90.00
Last column: nearest neighbours and their distance in Å.
Space group P2/m (No. 10)
Asymmetric unit:
Nd 0.2240 0.0000 0.2142 (multiplicity 2)  2 Ir 2.78, 1 S 2.96, 1 Cl 3.09
Nd 0.2617 0.5000 0.7850 (multiplicity 2)  2 S 2.83, 1 Ir 2.88, 3 Cl 3.13-3.17
Ir 0.0000 0.5000 0.0000 (multiplicity 1)  6 Nd 2.78-2.88
S 0.5000 0.0000 0.0000 (multiplicity 1)  6 Nd 2.83-2.96
Cl 0.0000 0.0000 0.5000 (multiplicity 1)  6 Nd 3.09-3.13
Cl 0.5000 0.5000 0.5000 (multiplicity 1)  6 Nd 3.17-3.18

## Properties
Mass density = 6.82 g cm⁻³
Size of the total moment = 0.00 μB per formula unit
Raw formation energy = -1.4277 eV per atom



Compound: La4Pm3S8
Source: Alexandria
Functional: GGA-PBE
Structure: relaxed

abc: 11.5886 11.5906 8.1601
angles: 90.00 134.74 90.00
Last column: nearest neighbours and their distance in Å.
Space group C2/m (No. 12)
Asymmetric unit:
La 0.0000 0.0000 0.0000 (multiplicity 2)  6 S 2.93
La 0.0000 0.5000 0.5000 (multiplicity 2)  6 S 2.90-2.91
La 0.2500 0.2500 0.0000 (multiplicity 4)  6 S 2.90
Pm 0.0000 0.5000 0.0000 (multiplicity 2)  6 S 2.86-2.87
Pm 0.2500 0.2500 0.5000 (multiplicity 4)  6 S 2.90
S 0.0000 0.2495 0.5000 (multiplicity 4)  2 Pm 2.90, 3 La 2.90
S 0.0000 0.2525 0.0000 (multiplicity 4)  3 Pm 2.87-2.90, 3 La 2.90-2.93
S 0.2471 0.5000 0.9999 (multiplicity 4)  1 Pm 2.86, 4 La 2.90-2.93
S 0.2485 0.5000 0.4948 (multiplicity 4)  3 Pm 2.87-2.90, 2 La 2.91-2.93

## Properties
Mass density = 5.32 g cm⁻³
Size of the total moment = 0.00 μB per formula unit
Raw formation energy = -2.0993 eV per atom
Distance to the lowest polymorph of the same formula = 0 meV/atom



Compound: Pu6ReRh3
Source: Alexandria
Functional: GGA-PBE
Structure: relaxed

abc: 5.8269 5.8269 12.3978
angles: 90.00 90.00 120.00
Last column: nearest neighbours and their distance in Å.
Space group P6_322 (No. 182)
Asymmetric unit:
Pu 0.1392 0.3701 0.3414 (multiplicity 12)  1 Pu 2.33
Re 0.3333 0.6667 0.7500 (multiplicity 2)  2 Rh 2.54
Rh 0.0000 0.0000 0.0000 (multiplicity 2)  6 Pu 2.73
Rh 0.3333 0.6667 0.5451 (multiplicity 4)  1 Re 2.54

## Properties
Mass density = 17.85 g cm⁻³
Size of the total moment = 3.30 μB per formula unit
ΔE_f = 345 meV/atom



Compound: LiNd2SnO5
Source: Alexandria
Functional: GGA-PBE
Structure: relaxed

abc: 6.8128 6.8128 6.1968
angles: 90.00 90.00 90.00
Last column: nearest neighbours and their distance in Å.
Space group P4/mbm (No. 127)
Asymmetric unit:
Li 0.0000 0.0000 0.0000 (multiplicity 2)  10 O 3.07-3.10, 4 Sn 3.41
Nd 0.1773 0.3227 0.5000 (multiplicity 4)  4 O 2.31-2.51
Sn 0.0000 0.5000 0.0000 (multiplicity 2)  4 O 2.09
O 0.0000 0.0000 0.5000 (multiplicity 2)  4 Nd 2.51
O 0.1414 0.6414 0.2556 (multiplicity 8)  1 Sn 2.09, 1 Nd 2.31

## Properties
Mass density = 5.71 g cm⁻³
Size of the total moment = 0.87 μB per formula unit
Raw formation energy = -2.1874 eV per atom



Compound: InWBr2
Source: Alexandria
Functional: GGA-PBE
Structure: relaxed

abc: 4.2638 4.2638 12.4961
angles: 90.00 90.00 90.00
Last column: nearest neighbours and their distance in Å.
Space group I-4m2 (No. 119)
Asymmetric unit:
In 0.0000 0.0000 0.0000 (multiplicity 2)  4 Br 3.01
W 0.0000 0.5000 0.7500 (multiplicity 2)  4 Br 3.01
Br 0.0000 0.0000 0.5000 (multiplicity 2)  4 In 3.01
Br 0.0000 0.5000 0.2500 (multiplicity 2)  4 W 3.01

## Properties
Mass density = 6.70 g cm⁻³
Size of the total moment = 4.93 μB per formula unit
Raw formation energy = 0.9686 eV per atom
Distance to the lowest polymorph of the same formula = 847 meV/atom



Compound: CrGaFeMo
Source: Alexandria
Functional: GGA-PBE
Structure: relaxed

abc: 5.9276 5.9276 5.9276
angles: 90.00 90.00 90.00
Last column: nearest neighbours and their distance in Å.
Space group F-43m (No. 216)
Asymmetric unit:
Cr 0.0000 0.0000 0.0000 (multiplicity 4)  4 Mo 2.57, 4 Ga 2.57
Ga 0.2500 0.2500 0.2500 (multiplicity 4)  4 Cr 2.57, 4 Fe 2.57
Fe 0.0000 0.0000 0.5000 (multiplicity 4)  4 Mo 2.57, 4 Ga 2.57
Mo 0.2500 0.2500 0.7500 (multiplicity 4)  4 Cr 2.57, 4 Fe 2.57

## Properties
Mass density = 8.72 g cm⁻³
Size of the total moment = 1.02 μB per formula unit
ΔE_f = 33 meV/atom